10
Lattice="9.3756 0.3049 -1.5607 0.7172 6.4465 1.4244 -1.1554 1.8359 5.8283" Properties=species:S:1:pos:R:3 comment="PBE-GGA DyHo3Er, relaxed" delta_e_f_mev_per_atom=4 pbc="T T T"
Dy 1.5957 3.1572 1.0895
Dy 7.6284 8.0089 5.1724
Ho 4.1167 7.5104 4.6347
Ho 5.1078 3.6552 1.6271
Ho 2.9311 6.3572 1.4492
Ho 8.6273 4.1426 2.1633
Ho 0.5965 7.0231 4.0983
Ho 6.2933 4.8088 4.8124
Er 2.7784 4.3181 4.2709
Er 6.4462 6.8477 1.9909

---

9
Lattice="-5.1543 0.3258 2.1618 -1.5444 -4.2800 -3.0427 0.5066 -5.0824 1.9683" Properties=species:S:1:pos:R:3 comment="PBE-GGA Dy2ZnCu6, relaxed" delta_e_f_mev_per_atom=-201 pbc="T T T"
Zn 0.0000 0.0000 0.0000
Cu -2.8305 -5.2276 -1.0609
Cu -2.5914 -7.5718 -0.1519
Cu -1.8821 -5.5987 1.2562
Cu -3.3616 -3.8089 2.1483
Cu -4.3100 -3.4378 -0.1688
Cu -3.6007 -1.4647 1.2393
Dy -1.1417 -3.0728 -0.0248
Dy -5.0505 -5.9637 1.1122

---

12
Lattice="-4.8915 -0.3597 3.2615 1.5376 -2.1184 2.0724 4.3669 7.3803 4.3043" Properties=species:S:1:pos:R:3 comment="PBE-GGA ZrBW, relaxed" delta_e_f_mev_per_atom=-239 pbc="T T T"
B 2.9579 4.6003 5.1972
B -1.9450 0.3019 4.4410
B 0.0057 1.9694 2.0089
B -0.5303 5.0513 5.5570
W -3.8788 0.6156 3.5071
W 3.3542 6.4051 4.0588
W 1.9396 1.6557 2.9428
W -0.9266 3.2465 6.6954
Zr 0.9751 4.4333 3.8082
Zr 1.4525 5.2184 6.9459
Zr -0.4395 -0.3161 2.6923
Zr -1.4997 2.5874 3.7576

---

14
Lattice="8.3850 0.0000 0.0000 -4.1926 7.2613 0.0000 0.0000 0.0000 5.6078" Properties=species:S:1:pos:R:3 comment="PBE-GGA Ba3AlN3, relaxed" e_form_raw_mev_per_atom=-659 pbc="T T T"
Al 4.1924 2.4204 4.2059
Al 0.0000 4.8409 1.4020
N 4.9683 4.1082 4.2059
N -0.7759 3.1531 1.4020
N -1.0739 6.3566 1.4020
N 1.8496 5.0129 1.4020
N 2.3428 2.2484 4.2059
N 5.2663 0.9047 4.2059
Ba 2.4276 5.0421 4.2059
Ba -1.3882 6.8425 4.2059
Ba 5.2320 4.6233 1.4020
Ba 5.5806 0.4187 1.4020
Ba 1.7648 2.2192 1.4020
Ba -1.0396 2.6379 4.2059

---

6
Lattice="-1.2447 -5.2040 -0.9139 2.0355 -2.5568 -4.3343 3.7753 -3.8471 0.6432" Properties=species:S:1:pos:R:3 comment="PBE-GGA HoHfMo4, relaxed" delta_e_f_mev_per_atom=-26 pbc="T T T"
Ho 1.1415 -2.9020 -1.1512
Mo 0.9667 -5.3316 -3.1994
Mo 1.8362 -5.9765 -0.7116
Mo 3.4758 -4.6534 -2.4211
Mo 2.8536 -7.2544 -2.8779
Hf 0.0000 0.0000 0.0000

---

4
Lattice="4.3017 -0.0007 -0.0001 -2.1505 3.7258 0.0002 -2.1499 -1.2409 7.8016" Properties=species:S:1:pos:R:3 comment="PBE-GGA LaTbGeI, relaxed" e_form_raw_mev_per_atom=-1020 pbc="T T T"
I 2.5570 0.9695 2.7346
Ge -1.7435 0.9700 6.9016
Tb -1.7442 3.4532 0.5166
La 0.4069 -0.2719 5.2138